Entry w
NdThOs: optimized geometry, GGA-PBE.

Values from the calculation:
space group	F-43m (216)

abc: 4.9402 4.9402 4.9402
angles: 60.00 60.00 60.00
Fractional coordinates of all 3 atoms:
Nd  0.0000  0.0000  0.0000
Os  0.2500  0.2500  0.2500
Th  0.5000  0.5000  0.5000

Entry x
NdThOs: optimized geometry, GGA-PBE.

Values from the calculation:
space group	P2_1/m (11)

abc: 4.5618 5.4579 7.8533
angles: 115.85 90.00 90.00
Fractional coordinates of all 6 atoms:
Os  0.7500  0.1083  0.7989
Os  0.2500  0.8917  0.2011
Nd  0.2500  0.8035  0.5628
Nd  0.7500  0.1965  0.4372
Th  0.7500  0.7086  0.9440
Th  0.2500  0.2914  0.0560

Entry y
NdThOs: optimized geometry, GGA-PBE.

Values from the calculation:
space group	I4mm (107)

abc: 3.4707 3.4707 7.3388
angles: 103.68 103.68 90.00
Fractional coordinates of all 3 atoms:
Th  0.7080  0.7080  0.4160
Os  0.3277  0.3277  0.6555
Nd  0.9643  0.9643  0.9286

Stability check: which of them is most stable? entry x.

Entry w
Nd5Tl2Os: optimized geometry, GGA-PBE.

Values from the calculation:
space group	Cmcm (63)

abc: 5.7384 8.9431 12.6468
angles: 90.00 90.00 108.71
Fractional coordinates of all 16 atoms:
Nd  0.2926  0.5853  0.0773
Nd  0.0667  0.1334  0.1026
Nd  0.9333  0.8666  0.8974
Nd  0.0667  0.1334  0.3974
Nd  0.7074  0.4147  0.5773
Nd  0.9333  0.8666  0.6026
Nd  0.7074  0.4147  0.9227
Nd  0.6973  0.3947  0.2500
Nd  0.3027  0.6053  0.7500
Nd  0.2926  0.5853  0.4227
Tl  0.1264  0.2528  0.6319
Tl  0.8736  0.7472  0.3681
Tl  0.1264  0.2528  0.8681
Tl  0.8736  0.7472  0.1319
Os  0.8167  0.6334  0.7500
Os  0.1833  0.3666  0.2500

Entry x
Nd5Tl2Os: optimized geometry, GGA-PBE.

Values from the calculation:
space group	Pbam (55)

abc: 4.7946 8.1133 12.4920
angles: 90.00 90.00 90.00
Fractional coordinates of all 16 atoms:
Os  0.0000  0.0000  0.0000
Os  0.0000  0.5000  0.5000
Nd  0.0000  0.3588  0.2983
Nd  0.0000  0.8588  0.2017
Nd  0.0000  0.0000  0.5000
Nd  0.5000  0.6831  0.4311
Nd  0.0000  0.5000  0.0000
Nd  0.0000  0.1412  0.7983
Nd  0.5000  0.3169  0.5689
Nd  0.5000  0.8169  0.9311
Nd  0.5000  0.1831  0.0689
Nd  0.0000  0.6412  0.7017
Tl  0.5000  0.4274  0.8303
Tl  0.5000  0.5726  0.1697
Tl  0.5000  0.9274  0.6697
Tl  0.5000  0.0726  0.3303

Stability check: which of them is most stable? entry x.

Entry w
NdTmOs: optimized geometry, GGA-PBE.

Values from the calculation:
space group	I4mm (107)

abc: 3.4219 3.4219 7.1106
angles: 103.92 103.92 90.00
Fractional coordinates of all 3 atoms:
Tm  0.2894  0.2894  0.5788
Nd  0.0388  0.0388  0.0775
Os  0.6718  0.6718  0.3436

Entry x
NdTmOs: optimized geometry, GGA-PBE.

Values from the calculation:
space group	P2_1/c (14)

abc: 6.8666 6.9042 6.9252
angles: 90.00 104.47 90.00
Fractional coordinates of all 12 atoms:
Tm  0.7975  0.6659  0.0787
Tm  0.2975  0.8341  0.5787
Tm  0.7025  0.1659  0.4213
Tm  0.2025  0.3341  0.9213
Nd  0.2026  0.3329  0.4253
Nd  0.2974  0.8329  0.0747
Nd  0.7974  0.6671  0.5747
Nd  0.7026  0.1671  0.9253
Os  0.9944  0.9887  0.2689
Os  0.0056  0.0113  0.7311
Os  0.4944  0.5113  0.7689
Os  0.5056  0.4887  0.2311

Entry y
NdTmOs: optimized geometry, GGA-PBE.

Values from the calculation:
space group	F-43m (216)

abc: 4.8253 4.8253 4.8253
angles: 60.00 60.00 60.00
Fractional coordinates of all 3 atoms:
Nd  0.5000  0.5000  0.5000
Tm  0.0000  0.0000  0.0000
Os  0.2500  0.2500  0.2500

Stability check: which of them is most stable? entry w.

Entry w
NdTm2Os: optimized geometry, GGA-PBE.

Values from the calculation:
space group	P4/mmm (123)

abc: 3.3941 3.3941 9.1573
angles: 90.00 90.00 90.00
Fractional coordinates of all 4 atoms:
Tm  0.0000  0.0000  0.8233
Tm  0.0000  0.0000  0.1767
Os  0.5000  0.5000  0.0000
Nd  0.5000  0.5000  0.5000

Entry x
NdTm2Os: optimized geometry, GGA-PBE.

Values from the calculation:
space group	R-3m (166)

abc: 4.7303 4.7303 5.9883
angles: 66.74 66.74 60.00
Fractional coordinates of all 4 atoms:
Nd  0.5000  0.5000  0.5000
Tm  0.7212  0.7212  0.8363
Tm  0.2788  0.2788  0.1637
Os  0.0000  0.0000  0.0000

Entry y
NdTm2Os: optimized geometry, GGA-PBE.

Values from the calculation:
space group	Pnma (62)

abc: 6.3639 7.4791 8.9605
angles: 90.00 90.00 90.00
Fractional coordinates of all 16 atoms:
Tm  0.8393  0.3267  0.5641
Tm  0.3393  0.1733  0.0641
Tm  0.3393  0.1733  0.4359
Tm  0.1607  0.6733  0.4359
Tm  0.8393  0.3267  0.9359
Tm  0.1607  0.6733  0.0641
Tm  0.6607  0.8267  0.5641
Tm  0.6607  0.8267  0.9359
Nd  0.1264  0.9616  0.7500
Nd  0.8736  0.0384  0.2500
Nd  0.3736  0.4616  0.7500
Nd  0.6264  0.5384  0.2500
Os  0.0536  0.3822  0.2500
Os  0.4464  0.8822  0.2500
Os  0.9464  0.6178  0.7500
Os  0.5536  0.1178  0.7500

Stability check: which of them is most stable? entry y.

Entry w
Nd2TmOs: optimized geometry, GGA-PBE.

Values from the calculation:
space group	R-3m (166)

abc: 3.5607 3.5607 11.0697
angles: 80.74 80.74 60.00
Fractional coordinates of all 4 atoms:
Nd  0.1050  0.1050  0.6850
Nd  0.8950  0.8950  0.3150
Os  0.5000  0.5000  0.5000
Tm  0.0000  0.0000  0.0000

Entry x
Nd2TmOs: optimized geometry, GGA-PBE.

Values from the calculation:
space group	Pnma (62)

abc: 6.4436 7.4459 9.4425
angles: 90.00 90.00 90.00
Fractional coordinates of all 16 atoms:
Tm  0.8586  0.0437  0.2500
Tm  0.3586  0.4563  0.7500
Tm  0.1414  0.9563  0.7500
Tm  0.6414  0.5437  0.2500
Os  0.0309  0.3835  0.2500
Os  0.9691  0.6165  0.7500
Os  0.5309  0.1165  0.7500
Os  0.4691  0.8835  0.2500
Nd  0.8278  0.3237  0.5639
Nd  0.3278  0.1763  0.4361
Nd  0.3278  0.1763  0.0639
Nd  0.1722  0.6763  0.0639
Nd  0.6722  0.8237  0.9361
Nd  0.6722  0.8237  0.5639
Nd  0.1722  0.6763  0.4361
Nd  0.8278  0.3237  0.9361

Stability check: which of them is most stable? entry x.

Entry w
Nd2YOs: optimized geometry, GGA-PBE.

Values from the calculation:
space group	Cmcm (63)

abc: 4.1103 6.3743 9.2331
angles: 90.00 90.00 108.83
Fractional coordinates of all 8 atoms:
Os  0.2604  0.5213  0.2500
Os  0.7396  0.4787  0.7500
Nd  0.6425  0.2848  0.0669
Nd  0.3575  0.7152  0.5669
Nd  0.3575  0.7152  0.9331
Nd  0.6425  0.2848  0.4331
Y  0.9216  0.8435  0.2500
Y  0.0784  0.1565  0.7500

Entry x
Nd2YOs: optimized geometry, GGA-PBE.

Values from the calculation:
space group	R-3m (166)

abc: 3.6008 3.6008 11.1179
angles: 80.68 80.68 60.00
Fractional coordinates of all 4 atoms:
Nd  0.8939  0.8939  0.3184
Nd  0.1061  0.1061  0.6816
Y  0.0000  0.0000  0.0000
Os  0.5000  0.5000  0.5000

Entry y
Nd2YOs: optimized geometry, GGA-PBE.

Values from the calculation:
space group	Pnma (62)

abc: 6.4463 7.4888 9.5060
angles: 90.00 90.00 90.00
Fractional coordinates of all 16 atoms:
Os  0.9596  0.6159  0.7500
Os  0.0404  0.3841  0.2500
Os  0.5404  0.1159  0.7500
Os  0.4596  0.8841  0.2500
Y  0.6391  0.5422  0.2500
Y  0.3609  0.4578  0.7500
Y  0.1391  0.9578  0.7500
Y  0.8609  0.0422  0.2500
Nd  0.8304  0.3245  0.9358
Nd  0.1696  0.6755  0.0642
Nd  0.3304  0.1755  0.0642
Nd  0.8304  0.3245  0.5642
Nd  0.6696  0.8245  0.5642
Nd  0.6696  0.8245  0.9358
Nd  0.3304  0.1755  0.4358
Nd  0.1696  0.6755  0.4358

Stability check: which of them is most stable? entry y.

Entry w
Nd4ZnOs: optimized geometry, GGA-PBE.

Values from the calculation:
space group	C2/c (15)

abc: 6.2663 8.4054 8.1618
angles: 114.05 103.88 106.23
Fractional coordinates of all 12 atoms:
Zn  0.6258  0.3758  0.7517
Zn  0.3742  0.6242  0.2483
Nd  0.6361  0.0616  0.3539
Nd  0.9569  0.7852  0.1413
Nd  0.6843  0.3560  0.1413
Nd  0.3157  0.6440  0.8587
Nd  0.2179  0.2923  0.3539
Nd  0.3639  0.9384  0.6461
Nd  0.7821  0.7077  0.6461
Nd  0.0431  0.2148  0.8587
Os  0.2500  0.0000  0.0001
Os  0.7500  0.0000  0.9999

Entry x
Nd4ZnOs: optimized geometry, GGA-PBE.

Values from the calculation:
space group	F-43m (216)

abc: 9.8295 9.8295 9.8295
angles: 60.00 60.00 60.00
Fractional coordinates of all 24 atoms:
Os  0.6118  0.1646  0.6118
Os  0.6118  0.6118  0.1646
Os  0.6118  0.6118  0.6118
Os  0.1646  0.6118  0.6118
Nd  0.9437  0.5563  0.5563
Nd  0.9437  0.9437  0.5563
Nd  0.5563  0.9437  0.9437
Nd  0.9437  0.5563  0.9437
Nd  0.1903  0.8097  0.8097
Nd  0.4017  0.7950  0.4017
Nd  0.1903  0.1903  0.8097
Nd  0.8097  0.1903  0.1903
Nd  0.1903  0.8097  0.1903
Nd  0.8097  0.8097  0.1903
Nd  0.5563  0.5563  0.9437
Nd  0.7950  0.4017  0.4017
Nd  0.4017  0.4017  0.4017
Nd  0.4017  0.4017  0.7950
Nd  0.8097  0.1903  0.8097
Nd  0.5563  0.9437  0.5563
Zn  0.1740  0.4781  0.1740
Zn  0.4781  0.1740  0.1740
Zn  0.1740  0.1740  0.1740
Zn  0.1740  0.1740  0.4781

Stability check: which of them is most stable? entry x.

Entry w
Nd8Zn2Os: optimized geometry, GGA-PBE.

Values from the calculation:
space group	C2/m (12)

abc: 5.2273 6.9540 9.4202
angles: 102.21 106.11 90.00
Fractional coordinates of all 11 atoms:
Nd  0.2007  0.3134  0.4014
Nd  0.9721  0.2119  0.9442
Nd  0.0279  0.7881  0.0558
Nd  0.6572  0.9587  0.3145
Nd  0.3428  0.0413  0.6855
Nd  0.7993  0.6866  0.5986
Nd  0.5891  0.4316  0.1782
Nd  0.4109  0.5684  0.8218
Zn  0.8082  0.2669  0.6164
Zn  0.1918  0.7331  0.3836
Os  0.5000  0.0000  0.0000

Entry x
Nd8Zn2Os: optimized geometry, GGA-PBE.

Values from the calculation:
space group	Immm (71)

abc: 5.0188 8.6278 8.8116
angles: 119.31 106.55 90.00
Fractional coordinates of all 11 atoms:
Nd  0.8789  0.8790  0.7579
Nd  0.0000  0.6662  0.0000
Nd  0.6552  0.8847  0.3103
Nd  0.3448  0.5745  0.6897
Nd  0.0000  0.3338  0.0000
Nd  0.6552  0.4255  0.3103
Nd  0.3448  0.1153  0.6897
Nd  0.1211  0.1210  0.2421
Os  0.5000  0.0000  0.0000
Zn  0.1956  0.6956  0.3912
Zn  0.8044  0.3044  0.6088

Stability check: which of them is most stable? entry w.

Entry w
NdPaP2: optimized geometry, GGA-PBE.

Values from the calculation:
space group	P6_3/mmc (194)

abc: 4.0450 4.0450 13.3305
angles: 90.00 90.00 120.00
Fractional coordinates of all 8 atoms:
Nd  0.6667  0.3333  0.2500
Nd  0.3333  0.6667  0.7500
Pa  0.0000  0.0000  0.5000
Pa  0.0000  0.0000  0.0000
P  0.3333  0.6667  0.1156
P  0.6667  0.3333  0.8844
P  0.3333  0.6667  0.3844
P  0.6667  0.3333  0.6156

Entry x
NdPaP2: optimized geometry, GGA-PBE.

Values from the calculation:
space group	R3m (160)

abc: 3.9957 3.9957 7.3320
angles: 74.19 74.19 60.00
Fractional coordinates of all 4 atoms:
Nd  0.4941  0.4941  0.5178
P  0.0776  0.0776  0.7671
P  0.2573  0.2573  0.2280
Pa  0.6710  0.6710  0.9870

Entry y
NdPaP2: optimized geometry, GGA-PBE.

Values from the calculation:
space group	R-3m (166)

abc: 4.0532 4.0532 7.0461
angles: 73.27 73.27 59.99
Fractional coordinates of all 4 atoms:
Pa  0.0000  0.0000  0.0000
P  0.2556  0.2556  0.2330
P  0.7444  0.7444  0.7670
Nd  0.5000  0.5000  0.5000

Stability check: which of them is most stable? entry y.